VASP calculation (PBE) on CrHIr2 after structural relaxation.

Cell and atoms, written as POSCAR:
```
CrHIr2
1.0
0.0000 2.8714 2.8714
2.8714 0.0000 2.8714
2.8714 2.8714 0.0000
H Ir Cr
1 2 1
Direct
0.0000 0.0000 0.0000
0.7500 0.7500 0.7500
0.2500 0.2500 0.2500
0.5000 0.5000 0.5000
```

SG ... Fm-3m
Total magnetic moment ... 0.29 μB/atom
Energy ... -7.298 eV/atom